Below is an optimized crystal structure of BTeS, with properties calculated at the PBE level.

Calculated values
Total magnetization in μB/atom: 0.00
Total DFT energy (no corrections) in eV per atom: -4.74
Energy relative to the elements, uncorrected in eV per atom: -0.0940

The structure in extended XYZ format:
```
12
Lattice="6.8433 0.0000 0.0000 0.0000 5.4554 0.0000 -2.8855 0.0000 9.1130" Properties=species:S:1:pos:R:3 pbc="T T T"
B -0.1260 0.1312 2.7756
B -1.5687 2.5966 7.3321
B 5.5265 2.8589 1.7810
B 4.0838 5.3243 6.3375
Te 1.3483 1.1233 4.0126
Te -0.0944 1.6044 8.5691
Te 4.0522 3.8510 0.5439
Te 2.6095 4.3322 5.1004
S -0.0949 3.7531 2.7870
S -1.5376 4.4300 7.3435
S 5.4954 1.0254 1.7695
S 4.0527 1.7023 6.3260
```